Entry 1:
The following is a GGA-PBE calculation of a geometry-optimized Gd2O3 structure, from Alexandria via LeMat-Bulk.

abc: 3.7460 3.7460 5.9623
angles: 90.00 90.00 120.00
Sites, in units of the cell vectors:
Gd 0.3333 0.6667 0.2486
Gd 0.6667 0.3333 0.7514
O 0.0000 0.0000 0.0000
O 0.3333 0.6667 0.6453
O 0.6667 0.3333 0.3547

Computed properties:
Energy relative to the elements, uncorrected = -330 kJ per mole of atoms

***

Entry 2:
The following is a GGA-PBE calculation of a geometry-optimized GdO3 structure, from Alexandria via LeMat-Bulk.

abc: 6.6610 6.6610 3.4845
angles: 90.00 90.00 120.00
Sites, in units of the cell vectors:
Gd 0.3333 0.6667 0.2500
Gd 0.6667 0.3333 0.7500
O 0.0578 0.4287 0.7500
O 0.3709 0.9422 0.7500
O 0.4287 0.3709 0.2500
O 0.5713 0.6291 0.7500
O 0.6291 0.0578 0.2500
O 0.9422 0.5713 0.2500

Computed properties:
Energy relative to the elements, uncorrected = -138 kJ per mole of atoms

***

Entry 3:
The following is a GGA-PBE calculation of a geometry-optimized Gd2O3 structure, from Alexandria via LeMat-Bulk.

abc: 9.4083 9.4083 9.4083
angles: 109.47 109.47 109.47
Sites, in units of the cell vectors:
Gd 0.0000 0.0000 0.5000
Gd 0.0000 0.5000 0.0000
Gd 0.0315 0.7500 0.7815
Gd 0.2185 0.9685 0.2500
Gd 0.2500 0.2185 0.9685
Gd 0.2500 0.7185 0.4685
Gd 0.2815 0.5315 0.7500
Gd 0.4685 0.2500 0.7185
Gd 0.5000 0.0000 0.0000
Gd 0.5000 0.5000 0.5000
Gd 0.5315 0.7500 0.2815
Gd 0.7185 0.4685 0.2500
Gd 0.7500 0.2815 0.5315
Gd 0.7500 0.7815 0.0315
Gd 0.7815 0.0315 0.7500
Gd 0.9685 0.2500 0.2185
O 0.0113 0.0414 0.2713
O 0.0301 0.4887 0.7600
O 0.0414 0.2713 0.0113
O 0.2287 0.2701 0.7400
O 0.2299 0.4586 0.4699
O 0.2400 0.9699 0.5113
O 0.2600 0.7713 0.7299
O 0.2701 0.7400 0.2287
O 0.2713 0.0113 0.0414
O 0.4586 0.4699 0.2299
O 0.4699 0.2299 0.4586
O 0.4887 0.7600 0.0301
O 0.5113 0.2400 0.9699
O 0.5301 0.7701 0.5414
O 0.5414 0.5301 0.7701
O 0.7287 0.9887 0.9586
O 0.7299 0.2600 0.7713
O 0.7400 0.2287 0.2701
O 0.7600 0.0301 0.4887
O 0.7701 0.5414 0.5301
O 0.7713 0.7299 0.2600
O 0.9586 0.7287 0.9887
O 0.9699 0.5113 0.2400
O 0.9887 0.9586 0.7287

Computed properties:
Energy relative to the elements, uncorrected = -335 kJ per mole of atoms

***

Entry 4:
The following is a GGA-PBE calculation of a geometry-optimized Gd3OsO7 structure, from Alexandria via LeMat-Bulk.

abc: 6.5168 6.5168 7.4992
angles: 90.00 90.00 69.74
Sites, in units of the cell vectors:
Gd 0.0000 0.0000 0.0000
Gd 0.0000 0.0000 0.5000
Gd 0.0668 0.4803 0.7500
Gd 0.4803 0.0668 0.2500
Gd 0.5197 0.9332 0.7500
Gd 0.9332 0.5197 0.2500
Os 0.5000 0.5000 0.0000
Os 0.5000 0.5000 0.5000
O 0.1107 0.1551 0.2500
O 0.1551 0.1107 0.7500
O 0.1830 0.5628 0.0363
O 0.1830 0.5628 0.4637
O 0.4157 0.5843 0.7500
O 0.4372 0.8170 0.0363
O 0.4372 0.8170 0.4637
O 0.5628 0.1830 0.5363
O 0.5628 0.1830 0.9637
O 0.5843 0.4157 0.2500
O 0.8170 0.4372 0.5363
O 0.8170 0.4372 0.9637
O 0.8449 0.8893 0.2500
O 0.8893 0.8449 0.7500

Computed properties:
Energy relative to the elements, uncorrected = -260 kJ per mole of atoms

***

Entry 5:
The following is a GGA-PBE calculation of a geometry-optimized GdP5O14 structure, from Alexandria via LeMat-Bulk.

abc: 8.8688 9.0730 13.0827
angles: 90.00 90.20 90.00
Sites, in units of the cell vectors:
Gd 0.2214 0.1876 0.0006
Gd 0.2214 0.3124 0.5006
Gd 0.7786 0.6876 0.4994
Gd 0.7786 0.8124 0.9994
P 0.0035 0.5023 0.7007
P 0.0035 0.9977 0.2007
P 0.1829 0.7452 0.5001
P 0.1829 0.7548 0.0001
P 0.2586 0.5463 0.1647
P 0.2586 0.9537 0.6647
P 0.2663 0.5490 0.8355
P 0.2663 0.9510 0.3355
P 0.4970 0.0015 0.8275
P 0.4970 0.4985 0.3275
P 0.5030 0.5015 0.6725
P 0.5030 0.9985 0.1725
P 0.7336 0.0490 0.6645
P 0.7336 0.4510 0.1645
P 0.7414 0.0463 0.3353
P 0.7414 0.4537 0.8353
P 0.8171 0.2452 0.9999
P 0.8171 0.2548 0.4999
P 0.9965 0.0023 0.7993
P 0.9965 0.4977 0.2993
O 0.0287 0.6894 0.9978
O 0.0287 0.8106 0.4978
O 0.0873 0.1159 0.8536
O 0.0873 0.3841 0.3536
O 0.0885 0.1159 0.1473
O 0.0885 0.3841 0.6473
O 0.1010 0.5801 0.2154
O 0.1010 0.9199 0.7154
O 0.1170 0.5918 0.7759
O 0.1170 0.9082 0.2759
O 0.2119 0.5840 0.5003
O 0.2119 0.9160 0.0003
O 0.2687 0.0968 0.3856
O 0.2687 0.4032 0.8856
O 0.2734 0.0968 0.6120
O 0.2734 0.4032 0.1120
O 0.2806 0.6875 0.0962
O 0.2806 0.8125 0.5962
O 0.2866 0.6863 0.9079
O 0.2866 0.8137 0.4079
O 0.3780 0.5806 0.2511
O 0.3780 0.9194 0.7511
O 0.3970 0.5822 0.7573
O 0.3970 0.9178 0.2573
O 0.4178 0.1167 0.1185
O 0.4178 0.3833 0.6185
O 0.4191 0.1209 0.8851
O 0.4191 0.3791 0.3851
O 0.5809 0.6209 0.6149
O 0.5809 0.8791 0.1149
O 0.5822 0.6167 0.3815
O 0.5822 0.8833 0.8815
O 0.6030 0.0822 0.7427
O 0.6030 0.4178 0.2427
O 0.6220 0.0806 0.2489
O 0.6220 0.4194 0.7489
O 0.7134 0.1863 0.5921
O 0.7134 0.3137 0.0921
O 0.7194 0.1875 0.4038
O 0.7194 0.3125 0.9038
O 0.7266 0.5968 0.8880
O 0.7266 0.9032 0.3880
O 0.7313 0.5968 0.1144
O 0.7313 0.9032 0.6144
O 0.7881 0.0840 0.9997
O 0.7881 0.4160 0.4997
O 0.8830 0.0918 0.7241
O 0.8830 0.4082 0.2241
O 0.8990 0.0801 0.2846
O 0.8990 0.4199 0.7846
O 0.9115 0.6159 0.3527
O 0.9115 0.8841 0.8527
O 0.9127 0.6159 0.6464
O 0.9127 0.8841 0.1464
O 0.9713 0.1894 0.5022
O 0.9713 0.3106 0.0022

Computed properties:
Energy relative to the elements, uncorrected = -224 kJ per mole of atoms

***

Entry 6:
The following is a GGA-PBE calculation of a geometry-optimized Gd2PO structure, from Alexandria via LeMat-Bulk.

abc: 3.7856 3.7856 18.3111
angles: 90.00 90.00 120.00
Sites, in units of the cell vectors:
Gd 0.0000 0.0000 0.2417
Gd 0.0000 0.0000 0.7583
Gd 0.3333 0.6667 0.4250
Gd 0.3333 0.6667 0.9083
Gd 0.6667 0.3333 0.0917
Gd 0.6667 0.3333 0.5750
P 0.0000 0.0000 0.0000
P 0.3333 0.6667 0.6667
P 0.6667 0.3333 0.3333
O 0.0000 0.0000 0.5000
O 0.3333 0.6667 0.1667
O 0.6667 0.3333 0.8333

Computed properties:
Energy relative to the elements, uncorrected = -205 kJ per mole of atoms

***

Entry 7:
The following is a GGA-PBE calculation of a geometry-optimized RbGdP4O12 structure, from Alexandria via LeMat-Bulk.

abc: 10.5442 9.0598 12.9500
angles: 90.00 124.58 90.00
Sites, in units of the cell vectors:
Rb 0.2385 0.0658 0.0401
Rb 0.2385 0.4342 0.5401
Rb 0.7615 0.5658 0.4599
Rb 0.7615 0.9342 0.9599
Gd 0.3146 0.7259 0.8155
Gd 0.3146 0.7741 0.3155
Gd 0.6854 0.2259 0.6845
Gd 0.6854 0.2741 0.1845
P 0.0275 0.0284 0.2778
P 0.0275 0.4716 0.7778
P 0.2000 0.6066 0.0224
P 0.2000 0.8934 0.5224
P 0.3240 0.1726 0.3628
P 0.3240 0.3274 0.8628
P 0.3885 0.0917 0.7418
P 0.3885 0.4083 0.2418
P 0.6115 0.5917 0.7582
P 0.6115 0.9083 0.2582
P 0.6760 0.6726 0.1372
P 0.6760 0.8274 0.6372
P 0.8000 0.1066 0.4776
P 0.8000 0.3934 0.9776
P 0.9725 0.5284 0.2222
P 0.9725 0.9716 0.7222
O 0.0422 0.5430 0.8995
O 0.0422 0.9570 0.3995
O 0.0704 0.5820 0.7155
O 0.0704 0.9180 0.2155
O 0.1292 0.5968 0.3013
O 0.1292 0.9032 0.8013
O 0.1558 0.1594 0.3397
O 0.1558 0.3406 0.8397
O 0.1639 0.7093 0.0935
O 0.1639 0.7907 0.5935
O 0.2683 0.0486 0.5968
O 0.2683 0.4514 0.0968
O 0.2795 0.2076 0.7536
O 0.2795 0.2924 0.2536
O 0.2992 0.6622 0.9820
O 0.2992 0.8378 0.4820
O 0.3655 0.0316 0.3280
O 0.3655 0.4684 0.8280
O 0.4229 0.5398 0.3244
O 0.4229 0.9602 0.8244
O 0.4283 0.2410 0.4897
O 0.4283 0.2590 0.9897
O 0.4792 0.6748 0.7432
O 0.4792 0.8252 0.2432
O 0.5208 0.1748 0.7568
O 0.5208 0.3252 0.2568
O 0.5717 0.7410 0.0103
O 0.5717 0.7590 0.5103
O 0.5771 0.0398 0.1756
O 0.5771 0.4602 0.6756
O 0.6345 0.5316 0.1720
O 0.6345 0.9684 0.6720
O 0.7008 0.1622 0.5180
O 0.7008 0.3378 0.0180
O 0.7205 0.7076 0.7464
O 0.7205 0.7924 0.2464
O 0.7317 0.5486 0.9032
O 0.7317 0.9514 0.4032
O 0.8361 0.2092 0.4065
O 0.8361 0.2908 0.9065
O 0.8442 0.6594 0.1603
O 0.8442 0.8406 0.6603
O 0.8708 0.0968 0.1987
O 0.8708 0.4032 0.6987
O 0.9296 0.0820 0.7845
O 0.9296 0.4180 0.2845
O 0.9578 0.0430 0.6005
O 0.9578 0.4570 0.1005

Computed properties:
Energy relative to the elements, uncorrected = -236 kJ per mole of atoms

***

Entry 8:
The following is a GGA-PBE calculation of a geometry-optimized YbGdP2O8 structure, from Alexandria via LeMat-Bulk.

abc: 5.8308 5.8308 5.8308
angles: 106.02 106.02 116.61
Sites, in units of the cell vectors:
Yb 0.0000 0.0000 0.0000
Gd 0.2500 0.7500 0.5000
P 0.5000 0.5000 0.0000
P 0.7500 0.2500 0.5000
O 0.3420 0.1689 0.8269
O 0.3420 0.5151 0.1731
O 0.4189 0.0928 0.3260
O 0.4849 0.6580 0.8269
O 0.7668 0.0928 0.6740
O 0.8311 0.6580 0.1731
O 0.9072 0.2332 0.3260
O 0.9072 0.5811 0.6740

Computed properties:
Energy relative to the elements, uncorrected = -272 kJ per mole of atoms

***

Entry 9:
The following is a GGA-PBE calculation of a geometry-optimized Gd2PaO structure, from Alexandria via LeMat-Bulk.

abc: 3.3092 3.3092 28.2978
angles: 90.00 90.00 120.00
Sites, in units of the cell vectors:
Gd 0.0000 0.0000 0.1141
Gd 0.0000 0.0000 0.8859
Gd 0.3333 0.6667 0.5525
Gd 0.3333 0.6667 0.7808
Gd 0.6667 0.3333 0.2192
Gd 0.6667 0.3333 0.4475
Pa 0.0000 0.0000 0.0000
Pa 0.3333 0.6667 0.6667
Pa 0.6667 0.3333 0.3333
O 0.0000 0.0000 0.5000
O 0.3333 0.6667 0.1667
O 0.6667 0.3333 0.8333

Computed properties:
Energy relative to the elements, uncorrected = -100 kJ per mole of atoms

***

Entry 10:
The following is a GGA-PBE calculation of a geometry-optimized Gd3PaO structure, from Alexandria via LeMat-Bulk.

abc: 4.9055 4.9055 4.9055
angles: 90.00 90.00 90.00
Sites, in units of the cell vectors:
Gd 0.0000 0.0000 0.5000
Gd 0.0000 0.5000 0.0000
Gd 0.5000 0.0000 0.0000
Pa 0.5000 0.5000 0.5000
O 0.0000 0.0000 0.0000

Computed properties:
Energy relative to the elements, uncorrected = -83 kJ per mole of atoms

***

Entry 11:
The following is a GGA-PBE calculation of a geometry-optimized GdPdO structure, from Alexandria via LeMat-Bulk.

abc: 3.9498 3.9498 7.1489
angles: 90.00 90.00 90.00
Sites, in units of the cell vectors:
Gd 0.0000 0.0000 0.0000
Gd 0.5000 0.5000 0.5000
Pd 0.0000 0.0000 0.3971
Pd 0.5000 0.5000 0.8971
O 0.0000 0.0000 0.7054
O 0.5000 0.5000 0.2054

Computed properties:
Energy relative to the elements, uncorrected = -105 kJ per mole of atoms

***

Entry 12:
The following is a GGA-PBE calculation of a geometry-optimized Gd4PdO7 structure, from Alexandria via LeMat-Bulk.

abc: 3.8528 7.7675 9.0116
angles: 112.00 90.33 103.00
Sites, in units of the cell vectors:
Gd 0.1546 0.3300 0.0343
Gd 0.3416 0.1739 0.6386
Gd 0.6584 0.8261 0.3614
Gd 0.8454 0.6700 0.9657
Pd 0.5000 0.0000 0.0000
O 0.0000 0.0000 0.0000
O 0.1843 0.8565 0.4918
O 0.2547 0.4684 0.8524
O 0.4272 0.8242 0.1239
O 0.5728 0.1758 0.8761
O 0.7453 0.5316 0.1476
O 0.8157 0.1435 0.5082

Computed properties:
Energy relative to the elements, uncorrected = -258 kJ per mole of atoms

***

Entry 13:
The following is a GGA-PBE calculation of a geometry-optimized GdPdO2 structure, from Alexandria via LeMat-Bulk.

abc: 3.6093 3.6093 17.5834
angles: 90.00 90.00 120.00
Sites, in units of the cell vectors:
Gd 0.0000 0.0000 0.0000
Gd 0.3333 0.6667 0.6667
Gd 0.6667 0.3333 0.3333
Pd 0.0000 0.0000 0.5000
Pd 0.3333 0.6667 0.1667
Pd 0.6667 0.3333 0.8333
O 0.0000 0.0000 0.1242
O 0.0000 0.0000 0.8758
O 0.3333 0.6667 0.5425
O 0.3333 0.6667 0.7908
O 0.6667 0.3333 0.2092
O 0.6667 0.3333 0.4575

Computed properties:
Energy relative to the elements, uncorrected = -84 kJ per mole of atoms

***

Entry 14:
The following is a GGA-PBE calculation of a geometry-optimized Gd4PdO7 structure, from Alexandria via LeMat-Bulk.

abc: 6.8498 7.2017 7.8330
angles: 69.01 71.71 84.46
Sites, in units of the cell vectors:
Gd 0.1331 0.3556 0.3557
Gd 0.1631 0.3252 0.8804
Gd 0.2902 0.8981 0.2303
Gd 0.2925 0.8744 0.7137
Gd 0.7075 0.1256 0.2863
Gd 0.7098 0.1019 0.7697
Gd 0.8369 0.6748 0.1196
Gd 0.8669 0.6444 0.6443
Pd 0.5000 0.5000 0.0000
Pd 0.5000 0.5000 0.5000
O 0.0069 0.2917 0.6744
O 0.0597 0.1542 0.2024
O 0.2000 0.5703 0.0056
O 0.2369 0.6448 0.5881
O 0.3422 0.0389 0.9002
O 0.3471 0.0874 0.4033
O 0.4396 0.5724 0.2424
O 0.5604 0.4276 0.7576
O 0.6529 0.9126 0.5967
O 0.6578 0.9611 0.0998
O 0.7631 0.3552 0.4119
O 0.8000 0.4297 0.9944
O 0.9403 0.8458 0.7976
O 0.9931 0.7083 0.3256

Computed properties:
Energy relative to the elements, uncorrected = -285 kJ per mole of atoms

***

Entry 15:
The following is a GGA-PBE calculation of a geometry-optimized Gd3PdO structure, from Alexandria via LeMat-Bulk.

abc: 4.7760 4.7760 4.7760
angles: 90.00 90.00 90.00
Sites, in units of the cell vectors:
Gd 0.0000 0.0000 0.5000
Gd 0.0000 0.5000 0.0000
Gd 0.5000 0.0000 0.0000
Pd 0.5000 0.5000 0.5000
O 0.0000 0.0000 0.0000

Computed properties:
Energy relative to the elements, uncorrected = -130 kJ per mole of atoms

***

Entry 16:
The following is a GGA-PBE calculation of a geometry-optimized Pm3GdO structure, from Alexandria via LeMat-Bulk.

abc: 5.0694 5.0694 5.0694
angles: 90.00 90.00 90.00
Sites, in units of the cell vectors:
Pm 0.0000 0.0000 0.5000
Pm 0.0000 0.5000 0.0000
Pm 0.5000 0.0000 0.0000
Gd 0.5000 0.5000 0.5000
O 0.0000 0.0000 0.0000

Computed properties:
Energy relative to the elements, uncorrected = -105 kJ per mole of atoms